1.
This record from Alexandria describes a relaxed FeF3 crystal. The functional is PBEsol.

Cell lengths 5.355, 5.355, 5.355 Å; angles 56.70, 56.70, 56.70 degrees
Atoms (fractional coordinates):
1 Fe 0.000 0.000 0.000
2 Fe 0.500 0.500 0.500
3 F 0.133 0.750 0.367
4 F 0.250 0.633 0.867
5 F 0.367 0.133 0.750
6 F 0.633 0.867 0.250
7 F 0.750 0.367 0.133
8 F 0.867 0.250 0.633

Values from the calculation:
Final energy in eV for the cell shown: -46.16
Magnetic moment in μB per formula unit: 5.0
E_form (uncorrected) in meV per atom: -2083

2.
This record from Alexandria describes a relaxed GaFeNF2 crystal. The functional is PBEsol.

Cell lengths 4.100, 4.100, 3.479 Å; angles 90.00, 90.00, 90.00 degrees
Atoms (fractional coordinates):
1 Ga 0.000 0.000 0.000
2 Fe 0.500 0.500 0.500
3 N 0.500 0.500 0.000
4 F 0.000 0.500 0.500
5 F 0.500 0.000 0.500

Values from the calculation:
Final energy in eV for the cell shown: -28.53
Magnetic moment in μB per formula unit: 1.8
E_form (uncorrected) in meV per atom: -770

3.
This record from Alexandria describes a relaxed Ga2FeOF crystal. The functional is PBEsol.

Cell lengths 4.831, 4.831, 3.542 Å; angles 90.00, 90.00, 90.00 degrees
Atoms (fractional coordinates):
1 Ga 0.000 0.500 0.000
2 Ga 0.500 0.000 0.000
3 Fe 0.000 0.000 0.500
4 O 0.000 0.000 0.000
5 F 0.500 0.500 0.500

Values from the calculation:
Final energy in eV for the cell shown: -25.06
Magnetic moment in μB per formula unit: 3.1
E_form (uncorrected) in meV per atom: -449

4.
This record from Alexandria describes a relaxed GaFeP2F crystal. The functional is PBEsol.

Cell lengths 4.700, 4.700, 3.716 Å; angles 90.00, 90.00, 90.00 degrees
Atoms (fractional coordinates):
1 Ga 0.000 0.000 0.000
2 Fe 0.500 0.500 0.500
3 P 0.000 0.500 0.000
4 P 0.500 0.000 0.000
5 F 0.000 0.000 0.500

Values from the calculation:
Final energy in eV for the cell shown: -24.65
Magnetic moment in μB per formula unit: 3.2
E_form (uncorrected) in meV per atom: 232